No. 1
DFT (PBE-GGA) results for crystalline Tl5BiSe5 at its relaxed geometry.

POSCAR file:
```
Tl5BiSe5
1.0
6.289 0.000 0.000
-3.145 6.715 0.247
0.000 -2.195 8.368
Tl Bi Se
5 1 5
direct
0.657 0.314 0.363 Tl
0.684 0.367 0.874 Tl
0.000 0.000 0.500 Tl
0.316 0.633 0.126 Tl
0.343 0.686 0.637 Tl
0.000 0.000 0.000 Bi
0.836 0.672 0.179 Se
0.843 0.687 0.702 Se
0.500 0.000 0.000 Se
0.157 0.313 0.298 Se
0.164 0.328 0.821 Se
```

Density of states at the Fermi level in states/eV per atom: 0.30
Uncorrected formation energy in eV per atom: -0.30
Volume in Å³ per cell: 356.8

No. 2
DFT (PBE-GGA) results for crystalline Tl5BiSe4 at its relaxed geometry.

POSCAR file:
```
Tl5BiSe4
1.0
-0.733 4.202 0.936
-4.630 -2.340 6.883
9.620 -0.958 1.644
Tl Bi Se
5 1 4
direct
0.805 0.686 0.609 Tl
0.846 0.205 0.693 Tl
0.154 0.795 0.307 Tl
0.500 0.500 0.000 Tl
0.195 0.314 0.391 Tl
0.500 0.000 0.000 Bi
0.339 0.956 0.677 Se
0.970 0.746 0.939 Se
0.661 0.044 0.323 Se
0.030 0.254 0.061 Se
```

Uncorrected formation energy in eV per atom: -0.39
Volume in Å³ per cell: 333.4